Entry 1:
DFT (GGA-PBE) results for La5HgOs2 after structural relaxation.

Cell and atoms, written as CIF:
```
data_La5HgOs2
_cell_length_a 8.058
_cell_length_b 8.058
_cell_length_c 9.138
_cell_angle_alpha 116.16
_cell_angle_beta 116.16
_cell_angle_gamma 90.00
_symmetry_space_group_name_H-M 'P 1'
_symmetry_Int_Tables_number 1
loop_
_symmetry_equiv_pos_as_xyz
'x,y,z'
loop_
_atom_site_label
_atom_site_type_symbol
_atom_site_fract_x
_atom_site_fract_y
_atom_site_fract_z
_atom_site_occupancy
La1 La 0.966 0.466 0.257 1
La2 La 0.500 0.500 0.000 1
La3 La 0.534 0.709 0.743 1
La4 La 0.000 0.000 0.000 1
La5 La 0.209 0.034 0.743 1
La6 La 0.466 0.291 0.257 1
La7 La 0.291 0.791 0.257 1
La8 La 0.709 0.209 0.743 1
La9 La 0.791 0.966 0.257 1
La10 La 0.034 0.534 0.743 1
Os1 Os 0.362 0.862 0.000 1
Os2 Os 0.638 0.138 0.000 1
Os3 Os 0.138 0.362 0.000 1
Os4 Os 0.862 0.638 0.000 1
Hg1 Hg 0.250 0.250 0.500 1
Hg2 Hg 0.750 0.750 0.500 1
```

* space-group type: I4/mcm
* calculated volume: 463.9 Å³ per cell
* total magnetic moment: 0.0 Bohr magnetons per cell
* E: -6.21 eV per atom

***

Entry 2:
DFT (GGA-PBE) results for LaIr2Ru after structural relaxation.

Cell and atoms, written as CIF:
```
data_LaIr2Ru
_cell_length_a 5.043
_cell_length_b 5.043
_cell_length_c 5.043
_cell_angle_alpha 131.01
_cell_angle_beta 131.02
_cell_angle_gamma 71.79
_symmetry_space_group_name_H-M 'P 1'
_symmetry_Int_Tables_number 1
loop_
_symmetry_equiv_pos_as_xyz
'x,y,z'
loop_
_atom_site_label
_atom_site_type_symbol
_atom_site_fract_x
_atom_site_fract_y
_atom_site_fract_z
_atom_site_occupancy
La1 La 0.500 0.500 0.000 1
Ir1 Ir 0.750 0.250 0.500 1
Ir2 Ir 0.000 0.000 0.000 1
Ru1 Ru 0.250 0.750 0.500 1
```

* space-group type: I-4m2
* calculated volume: 71.4 Å³ per cell
* E above lowest polymorph: 0.493 eV/f.u.
* total magnetic moment: 0.0 Bohr magnetons per cell

***

Entry 3:
DFT (GGA-PBE) results for MgCr2Ag after structural relaxation.

Cell and atoms, written as CIF:
```
data_MgCr2Ag
_cell_length_a 5.235
_cell_length_b 5.235
_cell_length_c 5.235
_cell_angle_alpha 144.50
_cell_angle_beta 127.12
_cell_angle_gamma 65.32
_symmetry_space_group_name_H-M 'P 1'
_symmetry_Int_Tables_number 1
loop_
_symmetry_equiv_pos_as_xyz
'x,y,z'
loop_
_atom_site_label
_atom_site_type_symbol
_atom_site_fract_x
_atom_site_fract_y
_atom_site_fract_z
_atom_site_occupancy
Ag1 Ag 0.244 0.744 0.500 1
Cr1 Cr 0.776 0.276 0.500 1
Cr2 Cr 0.976 0.976 0.000 1
Mg1 Mg 0.504 0.504 0.000 1
```

* space-group type: Imm2
* calculated volume: 65.6 Å³ per cell
* total magnetic moment: 0.0 Bohr magnetons per cell
* E: -5.57 eV per atom

***

Entry 4:
DFT (GGA-PBE) results for TiTcSn2 after structural relaxation.

Cell and atoms, written as CIF:
```
data_TiTcSn2
_cell_length_a 4.053
_cell_length_b 4.053
_cell_length_c 10.327
_cell_angle_alpha 78.68
_cell_angle_beta 78.68
_cell_angle_gamma 90.00
_symmetry_space_group_name_H-M 'P 1'
_symmetry_Int_Tables_number 1
loop_
_symmetry_equiv_pos_as_xyz
'x,y,z'
loop_
_atom_site_label
_atom_site_type_symbol
_atom_site_fract_x
_atom_site_fract_y
_atom_site_fract_z
_atom_site_occupancy
Tc1 Tc 0.750 0.250 0.500 1
Tc2 Tc 0.000 0.000 0.000 1
Ti1 Ti 0.500 0.500 0.000 1
Ti2 Ti 0.250 0.750 0.500 1
Sn1 Sn 0.875 0.875 0.750 1
Sn2 Sn 0.625 0.125 0.250 1
Sn3 Sn 0.125 0.625 0.250 1
Sn4 Sn 0.375 0.375 0.750 1
```

* space-group type: I-42d
* calculated volume: 163.0 Å³ per cell
* E above lowest polymorph: 1.246 eV/f.u.
* total magnetic moment: 0.0 Bohr magnetons per cell

***

Entry 5:
DFT (GGA-PBE) results for CrRe2Te after structural relaxation.

Cell and atoms, written as CIF:
```
data_CrRe2Te
_cell_length_a 3.154
_cell_length_b 4.467
_cell_length_c 4.467
_cell_angle_alpha 90.00
_cell_angle_beta 90.00
_cell_angle_gamma 90.00
_symmetry_space_group_name_H-M 'P 1'
_symmetry_Int_Tables_number 1
loop_
_symmetry_equiv_pos_as_xyz
'x,y,z'
loop_
_atom_site_label
_atom_site_type_symbol
_atom_site_fract_x
_atom_site_fract_y
_atom_site_fract_z
_atom_site_occupancy
Re1 Re 0.000 0.500 0.500 1
Re2 Re 0.000 0.000 0.000 1
Te1 Te 0.500 0.500 0.000 1
Cr1 Cr 0.500 0.000 0.500 1
```

* space-group type: P4/mmm
* calculated volume: 62.9 Å³ per cell
* total magnetic moment: 1.9 Bohr magnetons per cell
* E_form (uncorrected): 233 kJ/mol of formula units

***

Entry 6:
DFT (GGA-PBE) results for Ag6SI2Br2 after structural relaxation.

Cell and atoms, written as CIF:
```
data_Ag6SI2Br2
_cell_length_a 7.217
_cell_length_b 7.217
_cell_length_c 7.954
_cell_angle_alpha 107.34
_cell_angle_beta 107.34
_cell_angle_gamma 106.65
_symmetry_space_group_name_H-M 'P 1'
_symmetry_Int_Tables_number 1
loop_
_symmetry_equiv_pos_as_xyz
'x,y,z'
loop_
_atom_site_label
_atom_site_type_symbol
_atom_site_fract_x
_atom_site_fract_y
_atom_site_fract_z
_atom_site_occupancy
I1 I 0.236 0.764 0.000 1
I2 I 0.764 0.236 0.000 1
Ag1 Ag 0.702 0.702 0.464 1
Ag2 Ag 0.025 0.322 0.767 1
Ag3 Ag 0.322 0.025 0.767 1
Ag4 Ag 0.975 0.678 0.233 1
Ag5 Ag 0.298 0.298 0.536 1
Ag6 Ag 0.678 0.975 0.233 1
S1 S 0.000 0.000 0.500 1
Br1 Br 0.337 0.663 0.500 1
Br2 Br 0.663 0.337 0.500 1
```

* space-group type: C2/m
* calculated volume: 343.9 Å³ per cell
* total magnetic moment: 0.0 Bohr magnetons per cell
* E_form (uncorrected): -168 kJ/mol of formula units

***

Entry 7:
DFT (GGA-PBE) results for LiNdTh after structural relaxation.

Cell and atoms, written as CIF:
```
data_LiNdTh
_cell_length_a 3.678
_cell_length_b 3.678
_cell_length_c 6.996
_cell_angle_alpha 105.24
_cell_angle_beta 105.24
_cell_angle_gamma 90.00
_symmetry_space_group_name_H-M 'P 1'
_symmetry_Int_Tables_number 1
loop_
_symmetry_equiv_pos_as_xyz
'x,y,z'
loop_
_atom_site_label
_atom_site_type_symbol
_atom_site_fract_x
_atom_site_fract_y
_atom_site_fract_z
_atom_site_occupancy
Li1 Li 0.666 0.666 0.332 1
Th1 Th 0.010 0.010 0.019 1
Nd1 Nd 0.324 0.324 0.649 1
```

* space-group type: I4mm
* calculated volume: 87.8 Å³ per cell
* E above lowest polymorph: 0.279 eV/f.u.
* total magnetic moment: 0.0 Bohr magnetons per cell

***

Entry 8:
DFT (GGA-PBE) results for CdAg2PbI6 after structural relaxation.

Cell and atoms, written as CIF:
```
data_CdAg2PbI6
_cell_length_a 7.873
_cell_length_b 11.137
_cell_length_c 11.137
_cell_angle_alpha 73.65
_cell_angle_beta 78.94
_cell_angle_gamma 78.94
_symmetry_space_group_name_H-M 'P 1'
_symmetry_Int_Tables_number 1
loop_
_symmetry_equiv_pos_as_xyz
'x,y,z'
loop_
_atom_site_label
_atom_site_type_symbol
_atom_site_fract_x
_atom_site_fract_y
_atom_site_fract_z
_atom_site_occupancy
I1 I 0.880 0.820 0.553 1
I2 I 0.434 0.788 0.370 1
I3 I 0.620 0.447 0.180 1
I4 I 0.643 0.824 0.960 1
I5 I 0.120 0.180 0.447 1
I6 I 0.380 0.553 0.820 1
I7 I 0.357 0.176 0.040 1
I8 I 0.857 0.040 0.176 1
I9 I 0.143 0.960 0.824 1
I10 I 0.934 0.370 0.788 1
I11 I 0.066 0.630 0.212 1
I12 I 0.566 0.212 0.630 1
Cd1 Cd 0.250 0.206 0.794 1
Cd2 Cd 0.750 0.794 0.206 1
Ag1 Ag 0.135 0.684 0.681 1
Ag2 Ag 0.365 0.319 0.316 1
Ag3 Ag 0.865 0.316 0.319 1
Ag4 Ag 0.635 0.681 0.684 1
Pb1 Pb 0.750 0.116 0.884 1
Pb2 Pb 0.250 0.884 0.116 1
```

* space-group type: C2/c
* calculated volume: 909.8 Å³ per cell
* total magnetic moment: 0.0 Bohr magnetons per cell
* E_form (uncorrected): -400 kJ/mol of formula units

***

Entry 9:
DFT (GGA-PBE) results for Mn2Re2Os after structural relaxation.

Cell and atoms, written as CIF:
```
data_Mn2Re2Os
_cell_length_a 3.534
_cell_length_b 3.534
_cell_length_c 6.351
_cell_angle_alpha 73.85
_cell_angle_beta 73.85
_cell_angle_gamma 90.00
_symmetry_space_group_name_H-M 'P 1'
_symmetry_Int_Tables_number 1
loop_
_symmetry_equiv_pos_as_xyz
'x,y,z'
loop_
_atom_site_label
_atom_site_type_symbol
_atom_site_fract_x
_atom_site_fract_y
_atom_site_fract_z
_atom_site_occupancy
Re1 Re 0.609 0.609 0.782 1
Re2 Re 0.391 0.391 0.218 1
Mn1 Mn 0.750 0.250 0.500 1
Mn2 Mn 0.250 0.750 0.500 1
Os1 Os 0.000 0.000 0.000 1
```

* space-group type: I4/mmm
* calculated volume: 72.9 Å³ per cell
* E above lowest polymorph: 3.037 eV/f.u.
* total magnetic moment: 0.0 Bohr magnetons per cell